No. 1
The following is a DFT calculation (PBE) of an optimized crystal structure of PrSm2Cd8.

- magnetic moment (μB/f.u.) = 0.0
- E_form (kJ per mole of atoms) = -27.5

```
data_PrSm2Cd8
_cell_length_a 8.406
_cell_length_b 16.071
_cell_length_c 5.367
_cell_angle_alpha 90.00
_cell_angle_beta 129.65
_cell_angle_gamma 90.00
_symmetry_space_group_name_H-M 'C 1 2/m 1'
_symmetry_Int_Tables_number 12
_symmetry_space_group_name_Hall '-C 2y'
loop_
_atom_site_label
_atom_site_fract_x
_atom_site_fract_y
_atom_site_fract_z
_atom_site_occupancy
Pr1 0.000 0.000 0.000 1
Sm1 0.000 0.309 0.500 1
Cd1 0.000 0.202 0.000 1
Cd2 0.001 0.500 0.749 1
Cd3 0.230 0.128 0.730 1
```



No. 2
The following is a DFT calculation (PBE) of an optimized crystal structure of DyGa3Pt.

- magnetic moment (μB/f.u.) = 0.0
- offset from the most stable computed form (meV/atom) = 5.5
- E_form (kJ per mole of atoms) = -71.2

```
data_DyGa3Pt
_cell_length_a 8.259
_cell_length_b 4.222
_cell_length_c 10.907
_cell_angle_alpha 90.00
_cell_angle_beta 90.00
_cell_angle_gamma 90.00
_symmetry_space_group_name_H-M 'P n m a'
_symmetry_Int_Tables_number 62
_symmetry_space_group_name_Hall '-P 2ac 2n'
loop_
_atom_site_label
_atom_site_fract_x
_atom_site_fract_y
_atom_site_fract_z
_atom_site_occupancy
Dy1 0.197 0.250 0.017 1
Ga1 0.070 0.250 0.590 1
Ga2 0.106 0.750 0.823 1
Ga3 0.139 0.750 0.211 1
Pt1 0.093 0.250 0.352 1
```



No. 3
The following is a DFT calculation (PBE) of an optimized crystal structure of AcLaPr2Ho5.

- magnetic moment (μB/f.u.) = 0.0
- E_form (kJ per mole of atoms) = 22.5

```
data_AcLaPr2Ho5
_cell_length_a 8.836
_cell_length_b 8.836
_cell_length_c 15.939
_cell_angle_alpha 90.00
_cell_angle_beta 90.00
_cell_angle_gamma 90.00
_symmetry_space_group_name_H-M 'I 4/m c m'
_symmetry_Int_Tables_number 140
_symmetry_space_group_name_Hall '-I 4 2c'
loop_
_atom_site_label
_atom_site_fract_x
_atom_site_fract_y
_atom_site_fract_z
_atom_site_occupancy
Ac1 0.000 0.000 0.250 1
La1 0.000 0.500 0.250 1
Pr1 0.118 0.382 0.000 1
Ho1 0.000 0.000 0.000 1
Ho2 0.206 0.294 0.367 1
```